Here is a relaxed structure of CuSbAsI2 from Alexandria. Energies are from PBE.

Cell lengths 5.9056, 4.4383, 5.9056 Å; angles 90.00, 90.00, 90.00 degrees
With the nearest neighbours (Å) after each atom.
Element x y z (fractional)
I: 0.0000 0.0000 0.5000  2 As 2.95
Cu: 0.0000 0.5000 0.0000  2 As 2.22
Sb: 0.5000 0.5000 0.5000  8 I 3.69
As: 0.0000 0.0000 0.0000  2 Cu 2.22
I: 0.5000 0.0000 0.0000  2 As 2.95

crystal system	tetragonal
offset from the most stable computed form	0	meV/atom
formation energy without anion corrections	0.486	eV/atom

***

Here is a relaxed structure of BaLi2TlNi from Alexandria. Energies are from PBE.

Cell lengths 5.0663, 5.0663, 5.0616 Å; angles 90.00, 90.00, 90.00 degrees
With the nearest neighbours (Å) after each atom.
Element x y z (fractional)
Ni: 0.0000 0.0000 0.0000  2 Tl 2.53, 4 Li 2.53
Tl: 0.0000 0.0000 0.5000  2 Ni 2.53
Ba: 0.5000 0.5000 0.5000  8 Li 3.58, 4 Tl 3.58
Li: 0.5000 0.0000 0.0000  2 Ni 2.53
Li: 0.0000 0.5000 0.0000  2 Ni 2.53

crystal system	tetragonal
E_form	-0.03	eV/atom

***

Here is a relaxed structure of Sm4YN4 from Alexandria. Energies are from PBE.

Cell lengths 5.0800, 6.2061, 6.2060 Å; angles 80.35, 65.84, 65.84 degrees
With the nearest neighbours (Å) after each atom.
Element x y z (fractional)
N: 0.7069 0.1973 0.3889  5 Sm 2.40-2.64, 1 Y 2.47
N: 0.9043 0.3887 0.8028  5 Sm 2.40-2.64, 1 Y 2.47
Y: 0.0000 0.0000 0.0000  4 N 2.47
N: 0.2931 0.8027 0.6111  5 Sm 2.40-2.64, 1 Y 2.47
Sm: 0.3899 0.4220 0.7981  5 N 2.40-2.64
N: 0.0957 0.6113 0.1972  5 Sm 2.40-2.64, 1 Y 2.47
Sm: 0.1880 0.2020 0.4220  5 N 2.40-2.64
Sm: 0.6101 0.5780 0.2019  5 N 2.40-2.64
Sm: 0.8120 0.7980 0.5780  5 N 2.40-2.64

crystal system	tetragonal
formation energy without anion corrections	-1.344	eV/atom

***

Q: Which formula does entry 3 have?
A: Sm4YN4